Nd9In2Pb | PBE | optimized geometry

Unit cell a=4.9927 b=4.9927 c=14.9768 alpha=90.00 beta=90.00 gamma=90.00
With the nearest neighbours (Å) after each atom.
Fractional coordinates of all 12 atoms:
Nd: 0.0000 0.0000 0.0000  4 Pb 3.53, 8 Nd 3.54
Nd: 0.0000 0.0000 0.3344  8 Nd 3.52-3.53, 4 In 3.53
Nd: 0.0000 0.0000 0.6656  8 Nd 3.52-3.53, 4 In 3.53
Nd: 0.0000 0.5000 0.1677  2 In 3.53, 8 Nd 3.53-3.54, 2 Pb 3.54
Nd: 0.0000 0.5000 0.5000  8 Nd 3.52-3.53, 4 In 3.52
Nd: 0.0000 0.5000 0.8323  2 In 3.53, 8 Nd 3.53-3.54, 2 Pb 3.54
Nd: 0.5000 0.0000 0.1677  2 In 3.53, 8 Nd 3.53-3.54, 2 Pb 3.54
Nd: 0.5000 0.0000 0.5000  8 Nd 3.52-3.53, 4 In 3.52
Nd: 0.5000 0.0000 0.8323  2 In 3.53, 8 Nd 3.53-3.54, 2 Pb 3.54
In: 0.5000 0.5000 0.3339  12 Nd 3.52-3.53
In: 0.5000 0.5000 0.6661  12 Nd 3.52-3.53
Pb: 0.5000 0.5000 0.0000  12 Nd 3.53-3.54

Computed properties:
E_form = -0.299 eV/atom

=====

DyTa2Fe9 | PBE | optimized geometry

Unit cell a=8.3511 b=8.3511 c=8.3511 alpha=34.09 beta=34.09 gamma=34.09
With the nearest neighbours (Å) after each atom.
Fractional coordinates of all 12 atoms:
Dy: 0.0000 0.0000 0.0000  6 Fe 2.83
Ta: 0.1440 0.1440 0.1440  12 Fe 2.80-2.88, 3 Ta 3.02
Ta: 0.8560 0.8560 0.8560  12 Fe 2.80-2.88, 3 Ta 3.02
Fe: 0.0823 0.5887 0.5887  7 Fe 2.37-2.49
Fe: 0.3335 0.3335 0.3335  6 Fe 2.48-2.49
Fe: 0.4113 0.4113 0.9177  7 Fe 2.37-2.49
Fe: 0.4113 0.9177 0.4113  7 Fe 2.37-2.49
Fe: 0.5000 0.5000 0.5000  6 Fe 2.37
Fe: 0.5887 0.0823 0.5887  7 Fe 2.37-2.49
Fe: 0.5887 0.5887 0.0823  7 Fe 2.37-2.49
Fe: 0.6665 0.6665 0.6665  6 Fe 2.48-2.49
Fe: 0.9177 0.4113 0.4113  7 Fe 2.37-2.49

Computed properties:
E_form = -0.141 eV/atom

=====

Li3Np2TaN6 | PBE | optimized geometry

Unit cell a=7.0132 b=7.0132 c=5.9039 alpha=92.29 beta=92.29 gamma=26.91
With the nearest neighbours (Å) after each atom.
Fractional coordinates of all 12 atoms:
Li: 0.0000 0.0000 0.0000  6 N 2.30-2.33
Li: 0.3754 0.3754 0.7640  1 N 1.99
Li: 0.6246 0.6246 0.2360  1 N 1.99
Np: 0.3129 0.3129 0.2418  6 N 2.20-2.35
Np: 0.6871 0.6871 0.7582  6 N 2.20-2.35
Ta: 0.0000 0.0000 0.5000  6 N 2.12-2.14
N: 0.1552 0.1552 0.4922  1 Ta 2.12, 2 Li 2.25, 2 Np 2.29
N: 0.1710 0.1710 0.0030  3 Np 2.20-2.35, 3 Li 2.24-2.33
N: 0.4801 0.4801 0.2679  1 Li 1.99, 2 Ta 2.14
N: 0.5199 0.5199 0.7321  1 Li 1.99, 2 Ta 2.14
N: 0.8290 0.8290 0.9970  3 Np 2.20-2.35, 3 Li 2.24-2.33
N: 0.8448 0.8448 0.5078  1 Ta 2.12, 2 Li 2.25, 2 Np 2.29

Computed properties:
ΔE_f (raw) = -950 meV/atom

=====

Pr2TmSn2Rh5 | PBE | optimized geometry

Unit cell a=10.4286 b=10.4286 c=3.8071 alpha=90.00 beta=90.00 gamma=90.00
With the nearest neighbours (Å) after each atom.
Fractional coordinates of all 20 atoms:
Pr: 0.1726 0.3274 0.0000  3 Sn 2.98-3.14, 2 Rh 3.18
Pr: 0.3274 0.8274 0.0000  3 Sn 2.98-3.14, 2 Rh 3.18
Pr: 0.6726 0.1726 0.0000  3 Sn 2.98-3.14, 2 Rh 3.18
Pr: 0.8274 0.6726 0.0000  3 Sn 2.98-3.14, 2 Rh 3.18
Tm: 0.0000 0.0000 0.0000  8 Rh 2.95
Tm: 0.5000 0.5000 0.0000  8 Rh 2.95
Sn: 0.1252 0.6252 0.0000  6 Rh 2.65-2.66
Sn: 0.3748 0.1252 0.0000  6 Rh 2.65-2.66
Sn: 0.6252 0.8748 0.0000  6 Rh 2.65-2.66
Sn: 0.8748 0.3748 0.0000  6 Rh 2.65-2.66
Rh: 0.0000 0.5000 0.5000  4 Sn 2.65
Rh: 0.0635 0.7930 0.5000  2 Sn 2.66, 2 Tm 2.95
Rh: 0.2070 0.0635 0.5000  2 Sn 2.66, 2 Tm 2.95
Rh: 0.2930 0.5635 0.5000  2 Sn 2.66, 2 Tm 2.95
Rh: 0.4365 0.2930 0.5000  2 Sn 2.66, 2 Tm 2.95
Rh: 0.5000 0.0000 0.5000  4 Sn 2.65
Rh: 0.5635 0.7070 0.5000  2 Sn 2.66, 2 Tm 2.95
Rh: 0.7070 0.4365 0.5000  2 Sn 2.66, 2 Tm 2.95
Rh: 0.7930 0.9365 0.5000  2 Sn 2.66, 2 Tm 2.95
Rh: 0.9365 0.2070 0.5000  2 Sn 2.66, 2 Tm 2.95

Computed properties:
E_form = -0.612 eV/atom

=====

TbNdTe2O | PBE | optimized geometry

Unit cell a=4.2229 b=4.2229 c=15.8520 alpha=90.00 beta=90.00 gamma=90.00
With the nearest neighbours (Å) after each atom.
Fractional coordinates of all 10 atoms:
Tb: 0.2500 0.2500 0.1300  5 Te 2.87-3.07
Tb: 0.7500 0.7500 0.8700  5 Te 2.87-3.07
Nd: 0.2500 0.2500 0.5700  4 O 2.39
Nd: 0.7500 0.7500 0.4300  4 O 2.39
Te: 0.2500 0.2500 0.3110  1 Tb 2.87
Te: 0.2500 0.2500 0.9156  5 Tb 3.07-3.40
Te: 0.7500 0.7500 0.0844  5 Tb 3.07-3.40
Te: 0.7500 0.7500 0.6889  1 Tb 2.87
O: 0.2500 0.7500 0.5000  4 Nd 2.39
O: 0.7500 0.2500 0.5000  4 Nd 2.39

Computed properties:
ΔE_f (raw) = -2060 meV/atom

=====

La4NiRh | PBE | optimized geometry

Unit cell a=6.1481 b=6.1481 c=6.1481 alpha=60.00 beta=60.00 gamma=60.00
With the nearest neighbours (Å) after each atom.
Fractional coordinates of all 6 atoms:
La: 0.1252 0.1252 0.1252  6 La 3.07-3.08
La: 0.1252 0.1252 0.6244  6 La 3.07-3.08
La: 0.1252 0.6244 0.1252  6 La 3.07-3.08
La: 0.6244 0.1252 0.1252  6 La 3.07-3.08
Ni: 0.7500 0.7500 0.7500  12 La 3.61, 4 Rh 3.76
Rh: 0.5000 0.5000 0.5000  12 La 3.60, 4 Ni 3.76

Computed properties:
energy relative to the lowest polymorph listed for this composition = 1.097 eV/atom
E_form = 0.706 eV/atom

=====

Number 1: density of states at the Fermi level 19.92 states/eV/f.u.. Number 2: density of states at the Fermi level 10.44 states/eV/f.u.. Number 3: density of states at the Fermi level 9.35 states/eV/f.u.. Number 4: density of states at the Fermi level 5.59 states/eV/f.u.. Number 5: density of states at the Fermi level 1.53 states/eV/f.u.. Number 6: density of states at the Fermi level 9.59 states/eV/f.u..